1.
5
Lattice="-2.226 -2.781 -2.015 0.838 -2.768 2.895 -4.142 1.445 2.581" Properties=species:S:1:pos:R:3 comment="YTa2SiO | Alexandria | PBEsol | relaxed" total_energy_ev_per_fu=-46.17 raw_formation_energy_ev_per_atom=-0.65 pbc="T T T"
Ta -1.113 -1.391 -1.007
Ta 0.419 -1.384 1.448
Y -2.765 -2.052 1.731
O 0.000 0.000 0.000
Si -2.071 0.723 1.291


2.
4
Lattice="-1.089 -2.371 -0.808 -0.702 -1.881 1.851 -6.366 1.106 0.723" Properties=species:S:1:pos:R:3 comment="SiTcO2 | Alexandria | PBEsol | relaxed" total_energy_ev_per_fu=-31.94 raw_formation_energy_ev_per_atom=-1.11 pbc="T T T"
Tc 0.000 0.000 0.000
Si -4.079 -1.573 0.883
O -3.837 -3.357 1.177
O -4.321 0.212 0.590


3.
5
Lattice="3.605 0.000 0.000 0.000 3.605 0.000 0.000 0.000 3.605" Properties=species:S:1:pos:R:3 comment="SiTcO3 | Alexandria | PBEsol | relaxed" total_energy_ev_per_fu=-38.36 raw_formation_energy_ev_per_atom=-1.12 pbc="T T T"
Si 0.000 0.000 0.000
O 1.803 0.000 0.000
O 0.000 0.000 1.803
O 0.000 1.803 0.000
Tc 1.803 1.803 1.803


4.
8
Lattice="-0.425 4.349 1.171 1.073 -3.306 3.929 4.282 0.027 1.456" Properties=species:S:1:pos:R:3 comment="SiTcO2 | Alexandria | PBEsol | relaxed" total_energy_ev_per_fu=-30.44 raw_formation_energy_ev_per_atom=-0.73 pbc="T T T"
Si 1.929 2.188 1.314
Si 1.501 -0.559 2.621
O 2.127 2.992 2.765
O 2.189 -0.204 4.103
O 4.455 -1.459 4.489
O 1.090 0.810 1.755
Tc 3.430 1.629 3.935
Tc 0.000 0.000 0.000


5.
8
Lattice="5.244 0.000 0.000 -2.622 4.980 0.164 0.000 2.612 4.548" Properties=species:S:1:pos:R:3 comment="SiTc2O | Alexandria | PBEsol | relaxed" total_energy_ev_per_fu=-33.27 raw_formation_energy_ev_per_atom=0.06 pbc="T T T"
Tc 0.961 4.715 1.828
Tc 1.311 1.746 0.913
Tc -0.961 6.021 4.102
Tc 3.933 2.703 2.580
Si 2.622 4.449 3.493
Si 0.000 0.000 0.000
O 0.000 3.143 1.219
O 2.622 1.306 2.274


6.
5
Lattice="-2.768 2.592 -1.173 -2.831 -2.672 0.777 -0.282 1.378 3.712" Properties=species:S:1:pos:R:3 comment="SiTc3O | Alexandria | PBEsol | relaxed" total_energy_ev_per_fu=-44.90 raw_formation_energy_ev_per_atom=-0.02 pbc="T T T"
O 0.000 0.000 0.000
Tc -1.415 -1.336 0.389
Tc -1.384 1.296 -0.586
Tc -0.141 0.689 1.856
Si -2.941 0.649 1.658


7.
8
Lattice="-3.160 -3.859 2.063 2.207 -4.265 2.463 -0.441 -0.553 5.350" Properties=species:S:1:pos:R:3 comment="SiTeO2 | Alexandria | PBEsol | relaxed" total_energy_ev_per_fu=-26.20 raw_formation_energy_ev_per_atom=-1.61 pbc="T T T"
Te -1.045 -6.508 7.407
Te -0.697 -4.338 4.938
Si 0.000 0.000 0.000
Si -0.348 -2.169 2.469
O -0.395 -1.361 3.910
O 0.929 -3.217 2.466
O -1.754 -3.014 2.266
O -0.174 -1.085 1.234


8.
40
Lattice="7.569 0.000 0.000 3.785 8.625 -0.128 3.785 2.579 9.104" Properties=species:S:1:pos:R:3 comment="Si2TeO7 | Alexandria | PBEsol | relaxed" total_energy_ev_per_fu=-69.15 raw_formation_energy_ev_per_atom=-1.74 pbc="T T T"
O 8.577 3.630 5.472
O 5.347 6.115 5.463
O 6.237 8.324 8.309
O 7.721 7.097 5.842
O 6.562 6.653 0.857
O 5.015 9.071 1.494
O 11.505 9.709 7.622
O 5.015 5.156 2.866
O 10.124 6.047 6.110
O 8.577 4.551 8.119
O 11.343 4.265 8.165
O 11.365 7.288 3.550
O 9.132 10.690 8.001
O 9.792 5.089 3.513
O 5.601 8.796 5.711
O 10.021 8.481 5.155
O 3.774 3.916 5.426
O 10.124 2.133 7.482
O 6.007 0.513 0.975
O 5.754 3.195 1.223
O 5.118 2.723 3.821
O 3.796 6.939 0.811
O 9.538 2.407 3.265
O 7.418 4.107 3.134
O 6.562 7.574 3.504
O 8.902 2.879 0.667
O 3.633 1.495 1.354
O 9.385 8.009 7.753
Si 5.046 1.845 0.670
Si 2.110 1.989 1.678
Si 8.831 3.756 3.818
Si 9.244 7.591 6.166
Si 5.895 3.613 2.810
Si 13.029 9.215 7.298
Si 10.093 9.358 8.306
Si 6.308 7.447 5.158
Te 5.247 7.113 2.180
Te 9.892 4.090 6.796
Te 3.785 5.602 4.488
Te 0.000 0.000 0.000